Crystalline Ac2NbGe3Ir4 at its relaxed geometry. Source: the Alexandria database, functional GGA-PBE.

Cell and atoms, written as POSCAR:
```
Ac2NbGe3Ir4
1.0
4.322 0.000 0.000
0.000 4.322 0.000
0.000 0.000 10.778
Ac Nb Ge Ir
2 1 3 4
Cartesian
2.161 0.000 2.640 Ac
0.000 2.161 8.138 Ac
2.161 2.161 5.389 Nb
0.000 0.000 5.389 Ge
2.161 0.000 9.430 Ge
0.000 2.161 1.348 Ge
2.161 2.161 0.000 Ir
0.000 0.000 0.000 Ir
2.161 0.000 6.856 Ir
0.000 2.161 3.923 Ir
```

size of the total moment = 0.0 μB per formula unit


Crystalline Ac2NbGe4Ir3 at its relaxed geometry. Source: the Alexandria database, functional GGA-PBE.

Cell and atoms, written as POSCAR:
```
Ac2NbGe4Ir3
1.0
-0.123 -3.743 -2.201
3.754 1.015 -1.936
5.453 -4.889 8.007
Ac Nb Ge Ir
2 1 4 3
Cartesian
1.249 -3.046 0.823 Ac
6.020 -3.206 5.115 Ac
4.542 -3.808 1.935 Nb
1.815 -1.364 -2.069 Ge
0.000 0.000 0.000 Ge
3.432 -5.003 4.029 Ge
3.837 -1.249 1.909 Ge
2.727 -2.444 4.003 Ir
4.736 -6.173 5.944 Ir
2.532 -0.080 -0.006 Ir
```

size of the total moment = 0.0 μB per formula unit


Crystalline AcNdGeIr at its relaxed geometry. Source: the Alexandria database, functional GGA-PBE.

Cell and atoms, written as POSCAR:
```
AcNdGeIr
1.0
-1.710 3.854 -3.156
0.660 -0.376 -5.211
-4.158 -0.809 -3.129
Ac Ir Nd Ge
1 1 1 1
Cartesian
0.000 0.000 0.000 Ac
-3.906 2.002 -8.622 Ir
-2.604 1.335 -5.748 Nd
-1.302 0.667 -2.874 Ge
```

E above lowest polymorph = 0 meV per atom
size of the total moment = 0.0 μB per formula unit


Values for calculated formation energy, eV/atom, ordered as above
-0.700, -0.653, -0.465